## HgPd (PBE)

Data for a geometry-optimized HgPd structure.

Lattice parameters (Å, degrees): 4.568 4.623 12.368 90.00 90.00 90.00
Positions (direct):
Hg (0.000, 0.000, 0.000)
Hg (0.000, 0.000, 0.261)
Hg (0.000, 0.000, 0.739)
Hg (0.500, 0.500, 0.239)
Hg (0.500, 0.500, 0.500)
Hg (0.500, 0.500, 0.761)
Pd (0.000, 0.000, 0.500)
Pd (0.000, 0.500, 0.379)
Pd (0.000, 0.500, 0.621)
Pd (0.500, 0.000, 0.121)
Pd (0.500, 0.000, 0.879)
Pd (0.500, 0.500, 0.000)

Results
Total DFT energy (no corrections) in Ry/atom: -0.2020
Energy of formation from the pure elements in meV per atom: -2